# ZrCoOs PBE optimized geometry
data_ZrCoOs
_chemical_formula_sum 'Zr2 Co2 Os2'
_cell_length_a 4.4262
_cell_length_b 4.4262
_cell_length_c 5.3637
_cell_angle_alpha 90.00
_cell_angle_beta 90.00
_cell_angle_gamma 120.00
_space_group_name_H-M_alt 'P 63/m m c'
_space_group_IT_number 194
_space_group_name_Hall '-P 6c 2c'
loop_
_atom_site_label
_atom_site_fract_x
_atom_site_fract_y
_atom_site_fract_z
_atom_site_occupancy
Zr1 0.3333 0.6667 0.2500 1
Co1 0.3333 0.6667 0.7500 1
Os1 0.0000 0.0000 0.0000 1
# - ΔE_f: -0.5 eV/f.u.
# - Fermi-level density of states: 1.63 states/eV/atom